The following is a PBE calculation of an optimized crystal structure of SrPr2Gd, from Alexandria via LeMat-Bulk.

a = 5.348 Å, b = 5.348 Å, c = 5.306 Å
α = 90.00°, β = 90.00°, γ = 90.00°
Fractional coordinates of all 4 atoms:
Sr  0.000  0.000  0.000
Pr  0.000  0.500  0.500
Pr  0.500  0.000  0.500
Gd  0.500  0.500  0.000

Values from the calculation:
- raw total energy (eV/atom) = -6.18
- ρ (g/cm³) = 5.8
- polymorph energy (0 for the lowest one) (meV per atom) = 69

The following is a PBE calculation of an optimized crystal structure of PrGd2Ta, from Alexandria via LeMat-Bulk.

a = 3.304 Å, b = 3.304 Å, c = 35.921 Å
α = 90.00°, β = 90.00°, γ = 120.00°
Fractional coordinates of all 12 atoms:
Pr  0.000  0.000  0.000
Pr  0.333  0.667  0.667
Pr  0.667  0.333  0.333
Gd  0.000  0.000  0.419
Gd  0.000  0.000  0.581
Gd  0.333  0.667  0.086
Gd  0.333  0.667  0.247
Gd  0.667  0.333  0.753
Gd  0.667  0.333  0.914
Ta  0.000  0.000  0.500
Ta  0.333  0.667  0.167
Ta  0.667  0.333  0.833

Values from the calculation:
- raw total energy (eV/atom) = -10.56
- ρ (g/cm³) = 9.3

Question: What is the formula in the first record?
Answer: SrPr2Gd